Compound: La8FeAu2
Source: Alexandria via LeMat-Bulk
Functional: PBE-GGA
Structure: optimized geometry

Summary:
Uncorrected energy   -5.212 eV per atom
Formation energy   -0.264 eV per atom

Cell: 4.043 9.109 9.861 Å, 93.31 101.83 90.00°
Atoms (fractional coordinates):
Au 0.163 0.734 0.326
Au 0.837 0.266 0.674
Fe 0.500 0.000 0.000
La 0.591 0.506 0.182
La 0.354 0.005 0.708
La 0.224 0.338 0.449
La 0.997 0.800 0.994
La 0.776 0.662 0.551
La 0.646 0.995 0.292
La 0.409 0.494 0.818
La 0.003 0.200 0.006



Compound: SrTiZn3
Source: Alexandria via LeMat-Bulk
Functional: PBE-GGA
Structure: optimized geometry

Summary:
Distance to the lowest polymorph of the same formula   1137.4 meV/atom
Uncorrected energy   -1.290 eV per atom
Formation energy   1.390 eV per atom

Cell: 5.338 5.338 5.338 Å, 90.00 90.00 90.00°
Atoms (fractional coordinates):
Sr 0.000 0.000 0.000
Zn 0.000 0.500 0.000
Zn 0.000 0.000 0.500
Zn 0.500 0.000 0.000
Ti 0.500 0.500 0.500



Compound: ScMn3Zn
Source: Alexandria via LeMat-Bulk
Functional: PBE-GGA
Structure: optimized geometry

Summary:
Distance to the lowest polymorph of the same formula   0.0 meV/atom
Uncorrected energy   -6.263 eV per atom
Formation energy   0.760 eV per atom

Cell: 4.610 4.610 4.610 Å, 90.00 90.00 90.00°
Site moments in Bohr magnetons follow the coordinates.
Atoms (fractional coordinates):
Sc 0.500 0.500 0.500  -0.45
Zn 0.000 0.000 0.000  -0.03
Mn 0.000 0.500 0.000  3.69
Mn 0.000 0.000 0.500  3.74
Mn 0.500 0.000 0.000  3.41



Compound: GaReNi2N
Source: Alexandria via LeMat-Bulk
Functional: PBE-GGA
Structure: optimized geometry

Summary:
Uncorrected energy   -7.069 eV per atom
Energy relative to the elements, uncorrected   0.003 eV/atom

Cell: 3.849 3.849 3.978 Å, 90.00 90.00 90.00°
Atoms (fractional coordinates):
Re 0.000 0.000 0.500
N 0.000 0.000 0.000
Ga 0.500 0.500 0.500
Ni 0.000 0.500 0.000
Ni 0.500 0.000 0.000



Compound: W2C
Source: Alexandria via LeMat-Bulk
Functional: PBE-GGA
Structure: optimized geometry

Summary:
Uncorrected energy   -11.517 eV per atom
Formation energy   0.193 eV per atom

Cell: 3.002 3.002 4.266 Å, 90.00 90.00 90.00°
Atoms (fractional coordinates):
C 0.000 0.000 0.000
W 0.000 0.000 0.500
W 0.500 0.500 0.000



Compound: SmCdHg6
Source: Alexandria via LeMat-Bulk
Functional: PBE-GGA
Structure: optimized geometry

Summary:
Distance to the lowest polymorph of the same formula   0.0 meV/atom
Uncorrected energy   -1.091 eV per atom
Formation energy   -0.161 eV per atom

Cell: 4.976 6.584 6.584 Å, 112.27 90.00 90.00°
Atoms (fractional coordinates):
Sm 0.000 0.122 0.878
Cd 0.500 0.358 0.642
Hg 0.000 0.098 0.378
Hg 0.000 0.622 0.902
Hg 0.000 0.593 0.407
Hg 0.500 0.423 0.137
Hg 0.500 0.863 0.577
Hg 0.500 0.921 0.079



Compound: Zn4NiIr3
Source: Alexandria via LeMat-Bulk
Functional: PBE-GGA
Structure: optimized geometry

Summary:
Uncorrected energy   -4.844 eV per atom
Formation energy   -0.162 eV per atom

Cell: 4.250 4.250 6.741 Å, 108.38 108.37 90.00°
Atoms (fractional coordinates):
Ni 0.500 0.000 0.000
Zn 0.377 0.377 0.755
Zn 0.623 0.623 0.245
Zn 0.123 0.123 0.245
Zn 0.877 0.877 0.755
Ir 0.000 0.500 0.000
Ir 0.751 0.251 0.501
Ir 0.249 0.749 0.499



Compound: Ga2MoOs
Source: Alexandria via LeMat-Bulk
Functional: PBE-GGA
Structure: optimized geometry

Summary:
Distance to the lowest polymorph of the same formula   0.0 meV/atom
Uncorrected energy   -6.873 eV per atom
Formation energy   0.155 eV per atom

Cell: 4.373 4.373 4.373 Å, 60.00 60.00 60.00°
Site moments in Bohr magnetons follow the coordinates.
Atoms (fractional coordinates):
Mo 0.000 0.000 0.000  1.43
Os 0.500 0.500 0.500  0.32
Ga 0.250 0.250 0.250  0.02
Ga 0.750 0.750 0.750  0.02